This record from the Alexandria database describes crystalline FeP2Cl at its relaxed geometry. The functional is GGA-PBEsol.

Geometry as POSCAR:
```
FeP2Cl
1.0
3.308 0.000 0.000
0.000 3.308 0.000
0.000 0.000 6.044
P Cl Fe
2 1 1
Cartesian
0.000 1.654 0.000 P
1.654 0.000 0.000 P
1.654 1.654 3.022 Cl
0.000 0.000 3.022 Fe
```

Spin magnetization: 3.5 μB per formula unit
Energy: -20.909 eV for the cell shown
SG: No. 123
Energy relative to the lowest polymorph listed for this composition: 164.4 kJ/mol of formula units
Formation energy without anion corrections: 0.4114 eV per atom